1.
# ZrTi3Nb GGA-PBE optimized geometry
data_ZrTi3Nb
_space_group_name_H-M_alt 'P -1'
_space_group_IT_number 2
_cell_length_a 3.3902
_cell_length_b 6.4799
_cell_length_c 8.8123
_cell_angle_alpha 101.03
_cell_angle_beta 101.03
_cell_angle_gamma 90.03
loop_
_space_group_symop_operation_xyz
'x,y,z'
'-x,-y,-z'
loop_
_atom_site_label
_atom_site_fract_x
_atom_site_fract_y
_atom_site_fract_z
_atom_site_occupancy
Zr1 0.1925 0.3361 0.3853 1
Ti1 0.0106 0.2385 0.0206 1
Ti2 0.1987 0.8534 0.3972 1
Ti3 0.4098 0.4307 0.8190 1
Nb1 0.4024 0.9983 0.8052 1
# Energy relative to the elements in kcal/mol of atoms: 1.564
# Spin magnetization in μB per formula unit: 0.0
# Excess energy over the best structure of this formula in the dataset in meV/atom: 0

***

2.
# La2Tb5PmY GGA-PBE optimized geometry
data_La2Tb5PmY
_space_group_name_H-M_alt 'I 4/m c m'
_space_group_IT_number 140
_space_group_name_Hall '-I 4 2c'
_cell_length_a 8.7060
_cell_length_b 8.7060
_cell_length_c 15.9352
_cell_angle_alpha 90.00
_cell_angle_beta 90.00
_cell_angle_gamma 90.00
loop_
_atom_site_label
_atom_site_fract_x
_atom_site_fract_y
_atom_site_fract_z
_atom_site_occupancy
La1 0.1180 0.3820 0.0000 1
Tb1 0.0000 0.0000 0.0000 1
Tb2 0.2169 0.2831 0.3587 1
Pm1 0.0000 0.0000 0.2500 1
Y1 0.0000 0.5000 0.2500 1
# Energy relative to the elements in kcal/mol of atoms: 5.776
# Spin magnetization in μB per formula unit: 0.0

***

3.
# Rb2ReAsBr6 GGA-PBE optimized geometry
data_Rb2ReAsBr6
_space_group_name_H-M_alt 'I 4/m m m'
_space_group_IT_number 139
_space_group_name_Hall '-I 4 2'
_cell_length_a 7.6361
_cell_length_b 7.6361
_cell_length_c 11.7224
_cell_angle_alpha 90.00
_cell_angle_beta 90.00
_cell_angle_gamma 90.00
loop_
_atom_site_label
_atom_site_fract_x
_atom_site_fract_y
_atom_site_fract_z
_atom_site_occupancy
Rb1 0.0000 0.5000 0.2500 1
Re1 0.0000 0.0000 0.0000 1
As1 0.0000 0.0000 0.5000 1
Br1 0.0000 0.0000 0.2190 1
Br2 0.2412 0.2412 0.0000 1
# Formation energy from raw total energies in eV per formula unit: -5.7
# Spin magnetization in μB per formula unit: 2.4

***

4.
# LaGaHg2 GGA-PBE optimized geometry
data_LaGaHg2
_space_group_name_H-M_alt 'R -3 m'
_space_group_IT_number 166
_space_group_name_Hall '-R 3 2"'
_cell_length_a 3.4224
_cell_length_b 3.4224
_cell_length_c 33.3563
_cell_angle_alpha 90.00
_cell_angle_beta 90.00
_cell_angle_gamma 120.00
loop_
_atom_site_label
_atom_site_fract_x
_atom_site_fract_y
_atom_site_fract_z
_atom_site_occupancy
La1 0.0000 0.0000 0.0000 1
Ga1 0.0000 0.0000 0.5000 1
Hg1 0.0000 0.0000 0.0964 1
# Energy relative to the elements in kcal/mol of atoms: 2.698
# Spin magnetization in μB per formula unit: 0.2

***

5.
# Nd2Er3In4 GGA-PBE optimized geometry
data_Nd2Er3In4
_space_group_name_H-M_alt 'C m c e'
_space_group_IT_number 64
_space_group_name_Hall '-C 2ac 2'
_cell_length_a 7.0120
_cell_length_b 16.9306
_cell_length_c 8.9655
_cell_angle_alpha 90.00
_cell_angle_beta 90.00
_cell_angle_gamma 90.00
loop_
_atom_site_label
_atom_site_fract_x
_atom_site_fract_y
_atom_site_fract_z
_atom_site_occupancy
Nd1 0.0000 0.1073 0.0801 1
Er1 0.0000 0.0000 0.5000 1
Er2 0.2500 0.2213 0.7500 1
In1 0.0000 0.1802 0.4603 1
In2 0.2500 0.0412 0.7500 1
# Energy relative to the elements in kcal/mol of atoms: -6.990
# Spin magnetization in μB per formula unit: 0.0

***

6.
# SmDy2HoTe5 GGA-PBE optimized geometry
data_SmDy2HoTe5
_space_group_name_H-M_alt 'P 4/m m m'
_space_group_IT_number 123
_space_group_name_Hall '-P 4 2'
_cell_length_a 5.5218
_cell_length_b 5.5218
_cell_length_c 11.6864
_cell_angle_alpha 90.00
_cell_angle_beta 90.00
_cell_angle_gamma 90.00
loop_
_atom_site_label
_atom_site_fract_x
_atom_site_fract_y
_atom_site_fract_z
_atom_site_occupancy
Sm1 0.0000 0.0000 0.0000 1
Dy1 0.5000 0.5000 0.3523 1
Ho1 0.0000 0.0000 0.5000 1
Te1 0.0000 0.0000 0.2491 1
Te2 0.0000 0.5000 0.5000 1
Te3 0.5000 0.5000 0.0000 1
# Formation energy from raw total energies in eV per formula unit: -6.1
# Spin magnetization in μB per formula unit: 0.6

***

7.
# Ba2ThMo2N6 GGA-PBE optimized geometry
data_Ba2ThMo2N6
_space_group_name_H-M_alt 'R -3 m'
_space_group_IT_number 166
_space_group_name_Hall '-R 3 2"'
_cell_length_a 6.2864
_cell_length_b 6.2864
_cell_length_c 19.0219
_cell_angle_alpha 90.00
_cell_angle_beta 90.00
_cell_angle_gamma 120.00
loop_
_atom_site_label
_atom_site_fract_x
_atom_site_fract_y
_atom_site_fract_z
_atom_site_occupancy
Ba1 0.0000 0.0000 0.2112 1
Th1 0.0000 0.0000 0.0000 1
Mo1 0.0000 0.0000 0.4287 1
N1 0.0016 0.5008 0.7500 1
# Formation energy from raw total energies in eV per formula unit: -9.3
# Spin magnetization in μB per formula unit: 0.0

***

8.
# Cu2Pt3 GGA-PBE optimized geometry
data_Cu2Pt3
_space_group_name_H-M_alt 'P 1'
_space_group_IT_number 1
_cell_length_a 4.7465
_cell_length_b 5.4797
_cell_length_c 6.0857
_cell_angle_alpha 76.98
_cell_angle_beta 75.22
_cell_angle_gamma 72.57
loop_
_space_group_symop_operation_xyz
'x,y,z'
loop_
_atom_site_label
_atom_site_fract_x
_atom_site_fract_y
_atom_site_fract_z
_atom_site_occupancy
Cu1 0.0000 0.0000 0.0000 1
Cu2 0.0042 0.4917 0.0001 1
Cu3 0.3967 0.1007 0.1946 1
Cu4 0.8031 0.1991 0.3913 1
Pt1 0.1963 0.8036 0.5941 1
Pt2 0.2040 0.2947 0.5948 1
Pt3 0.4014 0.5946 0.1965 1
Pt4 0.5991 0.8966 0.8046 1
Pt5 0.6055 0.3895 0.8078 1
Pt6 0.8014 0.7061 0.3847 1
# Energy relative to the elements in kcal/mol of atoms: -2.409
# Spin magnetization in μB per formula unit: 0.0
# Excess energy over the best structure of this formula in the dataset in meV/atom: 63

***

9.
# La6Ge2TeS3 GGA-PBE optimized geometry
data_La6Ge2TeS3
_space_group_name_H-M_alt 'C 1 2/m 1'
_space_group_IT_number 12
_cell_length_a 23.0595
_cell_length_b 4.1673
_cell_length_c 7.9591
_cell_angle_alpha 90.00
_cell_angle_beta 98.40
_cell_angle_gamma 90.00
loop_
_space_group_symop_operation_xyz
'x,y,z'
'-x,-y,-z'
'-x,y,-z'
'x,-y,z'
'x+1/2,y+1/2,z'
'-x+1/2,-y+1/2,-z'
'-x+1/2,y+1/2,-z'
'x+1/2,-y+1/2,z'
loop_
_atom_site_label
_atom_site_fract_x
_atom_site_fract_y
_atom_site_fract_z
_atom_site_occupancy
La1 0.0972 0.0000 0.3076 1
La2 0.0998 0.0000 0.7847 1
La3 0.2488 0.5000 0.8009 1
Ge1 0.1600 0.5000 0.0578 1
Te1 0.0000 0.0000 0.0000 1
S1 0.0000 0.0000 0.5000 1
S2 0.1435 0.5000 0.5538 1
# Formation energy from raw total energies in eV per formula unit: -15.8
# Spin magnetization in μB per formula unit: 0.7

***

10.
# Tl2ReW GGA-PBE optimized geometry
data_Tl2ReW
_space_group_name_H-M_alt 'P 1 2/m 1'
_space_group_IT_number 10
_cell_length_a 5.0449
_cell_length_b 3.0538
_cell_length_c 5.2282
_cell_angle_alpha 90.00
_cell_angle_beta 109.95
_cell_angle_gamma 90.00
loop_
_space_group_symop_operation_xyz
'x,y,z'
'-x,-y,-z'
'-x,y,-z'
'x,-y,z'
loop_
_atom_site_label
_atom_site_fract_x
_atom_site_fract_y
_atom_site_fract_z
_atom_site_occupancy
Tl1 0.0000 0.0000 0.0000 1
Tl2 0.0000 0.5000 0.5000 1
Re1 0.5000 0.0000 0.5000 1
W1 0.5000 0.5000 0.0000 1
# Energy relative to the elements in kcal/mol of atoms: 26.736
# Spin magnetization in μB per formula unit: 0.0
# Excess energy over the best structure of this formula in the dataset in meV/atom: 618

***

11.
# PmPr2HoSe4 GGA-PBE optimized geometry
data_PmPr2HoSe4
_space_group_name_H-M_alt 'P 1 2/m 1'
_space_group_IT_number 10
_cell_length_a 7.2481
_cell_length_b 4.1289
_cell_length_c 7.3769
_cell_angle_alpha 90.00
_cell_angle_beta 108.65
_cell_angle_gamma 90.00
loop_
_space_group_symop_operation_xyz
'x,y,z'
'-x,-y,-z'
'-x,y,-z'
'x,-y,z'
loop_
_atom_site_label
_atom_site_fract_x
_atom_site_fract_y
_atom_site_fract_z
_atom_site_occupancy
Pm1 0.0000 0.0000 0.0000 1
Pr1 0.0000 0.5000 0.5000 1
Pr2 0.5000 0.0000 0.5000 1
Ho1 0.5000 0.5000 0.0000 1
Se1 0.2527 0.5000 0.2391 1
Se2 0.2615 0.0000 0.7654 1
# Formation energy from raw total energies in eV per formula unit: -14.5
# Spin magnetization in μB per formula unit: 0.0

***

12.
# MnCd2As GGA-PBE optimized geometry
data_MnCd2As
_space_group_name_H-M_alt 'P m m m'
_space_group_IT_number 47
_cell_length_a 3.7770
_cell_length_b 3.7904
_cell_length_c 5.5003
_cell_angle_alpha 90.00
_cell_angle_beta 90.00
_cell_angle_gamma 90.00
loop_
_space_group_symop_operation_xyz
'x,y,z'
'-x,-y,-z'
'-x,-y,z'
'x,y,-z'
'x,-y,-z'
'-x,y,z'
'-x,y,-z'
'x,-y,z'
loop_
_atom_site_label
_atom_site_fract_x
_atom_site_fract_y
_atom_site_fract_z
_atom_site_occupancy
Mn1 0.0000 0.0000 0.0000 1
Cd1 0.5000 0.5000 0.2465 1
As1 0.0000 0.0000 0.5000 1
# Energy relative to the elements in kcal/mol of atoms: 5.230
# Spin magnetization in μB per formula unit: 3.7